This record from the Alexandria database describes a relaxed K3V2P3O12 crystal. The functional is GGA+U.

It has space group C2/c (No. 15), with a = 15.521 Å, b = 9.158 Å, c = 9.137 Å, α = 90.00°, β = 123.59° and γ = 90.00°. Symmetry generates all atoms from K at (0.177, 0.079, 0.249), K at (0.250, 0.250, 0.000), V at (0.095, 0.253, 0.547), P at (0.000, 0.046, 0.750), P at (0.143, 0.402, 0.254), O at (0.052, 0.319, 0.096), O at (0.069, 0.145, 0.717), O at (0.071, 0.053, 0.412), O at (0.141, 0.431, 0.724), O at (0.145, 0.370, 0.423) and O at (0.246, 0.339, 0.282).

The total DFT energy (no corrections) comes out at -6.91 eV/atom.